Entry 1:
# PBE ThNiSn4, relaxed
data_ThNiSn4
_chemical_formula_sum 'Th4 Ni4 Sn16'
_cell_length_a 4.501
_cell_length_b 29.089
_cell_length_c 4.512
_cell_angle_alpha 90.00
_cell_angle_beta 90.00
_cell_angle_gamma 90.00
_space_group_name_H-M_alt 'C m m m'
_space_group_IT_number 65
_space_group_name_Hall '-C 2 2'
loop_
_atom_site_label
_atom_site_type_symbol
_atom_site_fract_x
_atom_site_fract_y
_atom_site_fract_z
Th1 Th 0.000 0.191 0.000
Ni1 Ni 0.000 0.450 0.500
Sn1 Sn 0.000 0.000 0.500
Sn2 Sn 0.000 0.106 0.500
Sn3 Sn 0.000 0.286 0.500
Sn4 Sn 0.000 0.394 0.000
Sn5 Sn 0.000 0.500 0.000
# **E_tot**: -5.17 eV/atom

---

Entry 2:
# PBE LiNd2NpS6, relaxed
data_LiNd2NpS6
_chemical_formula_sum 'Li2 Nd4 Np2 S12'
_cell_length_a 6.581
_cell_length_b 7.239
_cell_length_c 11.371
_cell_angle_alpha 90.00
_cell_angle_beta 122.08
_cell_angle_gamma 90.00
_space_group_name_H-M_alt 'P 1 21/c 1'
_space_group_IT_number 14
loop_
_space_group_symop_operation_xyz
'x,y,z'
'-x,-y,-z'
'-x,y+1/2,-z+1/2'
'x,-y+1/2,z+1/2'
loop_
_atom_site_label
_atom_site_type_symbol
_atom_site_fract_x
_atom_site_fract_y
_atom_site_fract_z
Li1 Li 0.000 0.000 0.000
Nd1 Nd 0.200 0.097 0.741
Np1 Np 0.500 0.000 0.500
S1 S 0.121 0.185 0.440
S2 S 0.253 0.692 0.429
S3 S 0.387 0.045 0.248
# **Uncorrected formation energy**: -1605 meV per atom

---

Entry 3:
# PBE BWCl3, relaxed
data_BWCl3
_chemical_formula_sum 'B1 W1 Cl3'
_cell_length_a 4.860
_cell_length_b 4.860
_cell_length_c 4.860
_cell_angle_alpha 90.00
_cell_angle_beta 90.00
_cell_angle_gamma 90.00
_space_group_name_H-M_alt 'P m -3 m'
_space_group_IT_number 221
_space_group_name_Hall '-P 4 2 3'
loop_
_atom_site_label
_atom_site_type_symbol
_atom_site_fract_x
_atom_site_fract_y
_atom_site_fract_z
B1 B 0.000 0.000 0.000
W1 W 0.500 0.500 0.500
Cl1 Cl 0.000 0.500 0.500
# **Relative energy among the computed polymorphs**: 0.000 eV/atom
# **Uncorrected formation energy**: 945 meV per atom

---

Entry 4:
# PBE NpPa2Pd9, relaxed
data_NpPa2Pd9
_chemical_formula_sum 'Np1 Pa2 Pd9'
_cell_length_a 4.166
_cell_length_b 4.166
_cell_length_c 12.481
_cell_angle_alpha 90.00
_cell_angle_beta 90.00
_cell_angle_gamma 90.00
_space_group_name_H-M_alt 'P 4/m m m'
_space_group_IT_number 123
_space_group_name_Hall '-P 4 2'
loop_
_atom_site_label
_atom_site_type_symbol
_atom_site_fract_x
_atom_site_fract_y
_atom_site_fract_z
Np1 Np 0.000 0.000 0.000
Pa1 Pa 0.000 0.000 0.332
Pd1 Pd 0.000 0.500 0.172
Pd2 Pd 0.000 0.500 0.500
Pd3 Pd 0.500 0.500 0.000
Pd4 Pd 0.500 0.500 0.335
# **E_tot**: -7.17 eV/atom

---

Entry 5:
# PBE Er2UOsC4, relaxed
data_Er2UOsC4
_chemical_formula_sum 'Er8 U4 Os4 C16'
_cell_length_a 3.436
_cell_length_b 11.657
_cell_length_c 11.852
_cell_angle_alpha 90.00
_cell_angle_beta 90.00
_cell_angle_gamma 90.00
_space_group_name_H-M_alt 'C m c m'
_space_group_IT_number 63
_space_group_name_Hall '-C 2c 2'
loop_
_atom_site_label
_atom_site_type_symbol
_atom_site_fract_x
_atom_site_fract_y
_atom_site_fract_z
Er1 Er 0.000 0.132 0.042
U1 U 0.000 0.396 0.250
Os1 Os 0.000 0.347 0.750
C1 C 0.000 0.057 0.250
C2 C 0.000 0.228 0.637
C3 C 0.000 0.500 0.000
# **E_tot**: -8.52 eV/atom

---

Entry 6:
# PBE LaYHo2, relaxed
data_LaYHo2
_chemical_formula_sum 'La4 Y4 Ho8'
_cell_length_a 5.613
_cell_length_b 11.118
_cell_length_c 8.439
_cell_angle_alpha 90.00
_cell_angle_beta 90.00
_cell_angle_gamma 90.00
_space_group_name_H-M_alt 'A m a 2'
_space_group_IT_number 40
loop_
_space_group_symop_operation_xyz
'x,y,z'
'-x,-y,z'
'-x+1/2,y,z'
'x+1/2,-y,z'
'x,y+1/2,z+1/2'
'-x,-y+1/2,z+1/2'
'-x+1/2,y+1/2,z+1/2'
'x+1/2,-y+1/2,z+1/2'
loop_
_atom_site_label
_atom_site_type_symbol
_atom_site_fract_x
_atom_site_fract_y
_atom_site_fract_z
La1 La 0.250 0.109 0.000
Y1 Y 0.250 0.108 0.574
Ho1 Ho 0.250 0.326 0.283
Ho2 Ho 0.250 0.385 0.793
# **Relative energy among the computed polymorphs**: 0.060 eV/atom

---

Entry 7:
# PBE LiCd3In2, relaxed
data_LiCd3In2
_chemical_formula_sum 'Li4 Cd12 In8'
_cell_length_a 9.181
_cell_length_b 6.221
_cell_length_c 10.433
_cell_angle_alpha 90.00
_cell_angle_beta 113.00
_cell_angle_gamma 90.00
_space_group_name_H-M_alt 'C 1 2/c 1'
_space_group_IT_number 15
loop_
_space_group_symop_operation_xyz
'x,y,z'
'-x,-y,-z'
'-x,y,-z+1/2'
'x,-y,z+1/2'
'x+1/2,y+1/2,z'
'-x+1/2,-y+1/2,-z'
'-x+1/2,y+1/2,-z+1/2'
'x+1/2,-y+1/2,z+1/2'
loop_
_atom_site_label
_atom_site_type_symbol
_atom_site_fract_x
_atom_site_fract_y
_atom_site_fract_z
Li1 Li 0.000 0.127 0.250
Cd1 Cd 0.000 0.369 0.750
Cd2 Cd 0.158 0.124 0.570
In1 In 0.176 0.376 0.102
# **Relative energy among the computed polymorphs**: 0.000 eV/atom

---

Entry 8:
# PBE RbYCu2, relaxed
data_RbYCu2
_chemical_formula_sum 'Rb4 Y4 Cu8'
_cell_length_a 7.366
_cell_length_b 7.366
_cell_length_c 7.366
_cell_angle_alpha 90.00
_cell_angle_beta 90.00
_cell_angle_gamma 90.00
_space_group_name_H-M_alt 'F m -3 m'
_space_group_IT_number 225
_space_group_name_Hall '-F 4 2 3'
loop_
_atom_site_label
_atom_site_type_symbol
_atom_site_fract_x
_atom_site_fract_y
_atom_site_fract_z
Rb1 Rb 0.000 0.000 0.000
Y1 Y 0.000 0.000 0.500
Cu1 Cu 0.250 0.250 0.250
# **Relative energy among the computed polymorphs**: 0.000 eV/atom

---

Entry 9:
# PBE LiTbZnIr, relaxed
data_LiTbZnIr
_chemical_formula_sum 'Li4 Tb4 Zn4 Ir4'
_cell_length_a 6.571
_cell_length_b 6.571
_cell_length_c 6.571
_cell_angle_alpha 90.00
_cell_angle_beta 90.00
_cell_angle_gamma 90.00
_space_group_name_H-M_alt 'F -4 3 m'
_space_group_IT_number 216
_space_group_name_Hall 'F -4 2 3'
loop_
_atom_site_label
_atom_site_type_symbol
_atom_site_fract_x
_atom_site_fract_y
_atom_site_fract_z
Li1 Li 0.000 0.000 0.000
Tb1 Tb 0.250 0.250 0.750
Zn1 Zn 0.250 0.250 0.250
Ir1 Ir 0.000 0.000 0.500
# **E_tot**: -4.59 eV/atom

---

Entry 10:
# PBE SnPdPt, relaxed
data_SnPdPt
_chemical_formula_sum 'Sn2 Pd2 Pt2'
_cell_length_a 4.079
_cell_length_b 3.956
_cell_length_c 6.723
_cell_angle_alpha 90.00
_cell_angle_beta 98.80
_cell_angle_gamma 90.00
_space_group_name_H-M_alt 'P 1 21/m 1'
_space_group_IT_number 11
loop_
_space_group_symop_operation_xyz
'x,y,z'
'-x,-y,-z'
'-x,y+1/2,-z'
'x,-y+1/2,z'
loop_
_atom_site_label
_atom_site_type_symbol
_atom_site_fract_x
_atom_site_fract_y
_atom_site_fract_z
Sn1 Sn 0.173 0.250 0.217
Pd1 Pd 0.341 0.250 0.848
Pt1 Pt 0.252 0.750 0.503
# **Relative energy among the computed polymorphs**: 0.000 eV/atom

---

Entry 11:
# PBE CaPm2Sn, relaxed
data_CaPm2Sn
_chemical_formula_sum 'Ca1 Pm2 Sn1'
_cell_length_a 4.254
_cell_length_b 4.254
_cell_length_c 6.961
_cell_angle_alpha 90.00
_cell_angle_beta 90.00
_cell_angle_gamma 90.00
_space_group_name_H-M_alt 'P 4/m m m'
_space_group_IT_number 123
_space_group_name_Hall '-P 4 2'
loop_
_atom_site_label
_atom_site_type_symbol
_atom_site_fract_x
_atom_site_fract_y
_atom_site_fract_z
Ca1 Ca 0.000 0.000 0.000
Pm1 Pm 0.500 0.500 0.279
Sn1 Sn 0.000 0.000 0.500
# **Relative energy among the computed polymorphs**: 0.077 eV/atom

---

Entry 12:
# PBE Hf2ScGa2, relaxed
data_Hf2ScGa2
_chemical_formula_sum 'Hf4 Sc2 Ga4'
_cell_length_a 7.207
_cell_length_b 7.207
_cell_length_c 3.788
_cell_angle_alpha 90.00
_cell_angle_beta 90.00
_cell_angle_gamma 90.00
_space_group_name_H-M_alt 'P 4/m b m'
_space_group_IT_number 127
_space_group_name_Hall '-P 4 2ab'
loop_
_atom_site_label
_atom_site_type_symbol
_atom_site_fract_x
_atom_site_fract_y
_atom_site_fract_z
Hf1 Hf 0.174 0.326 0.000
Sc1 Sc 0.000 0.000 0.500
Ga1 Ga 0.125 0.625 0.500
# **Relative energy among the computed polymorphs**: 0.000 eV/atom

---

Entry 13:
# PBE Ce2Pr2Si3, relaxed
data_Ce2Pr2Si3
_chemical_formula_sum 'Ce4 Pr4 Si6'
_cell_length_a 13.752
_cell_length_b 4.228
_cell_length_c 7.341
_cell_angle_alpha 90.00
_cell_angle_beta 99.38
_cell_angle_gamma 90.00
_space_group_name_H-M_alt 'C 1 2/m 1'
_space_group_IT_number 12
loop_
_space_group_symop_operation_xyz
'x,y,z'
'-x,-y,-z'
'-x,y,-z'
'x,-y,z'
'x+1/2,y+1/2,z'
'-x+1/2,-y+1/2,-z'
'-x+1/2,y+1/2,-z'
'x+1/2,-y+1/2,z'
loop_
_atom_site_label
_atom_site_type_symbol
_atom_site_fract_x
_atom_site_fract_y
_atom_site_fract_z
Ce1 Ce 0.127 0.000 0.383
Pr1 Pr 0.127 0.500 0.873
Si1 Si 0.000 0.500 0.500
Si2 Si 0.246 0.500 0.255
# **Uncorrected formation energy**: -386 meV per atom

---

Entry 14:
# PBE Cu5AgCl12, relaxed
data_Cu5AgCl12
_chemical_formula_sum 'Cu5 Ag1 Cl12'
_cell_length_a 4.052
_cell_length_b 9.066
_cell_length_c 13.020
_cell_angle_alpha 97.72
_cell_angle_beta 90.21
_cell_angle_gamma 92.08
_space_group_name_H-M_alt 'P -1'
_space_group_IT_number 2
loop_
_space_group_symop_operation_xyz
'x,y,z'
'-x,-y,-z'
loop_
_atom_site_label
_atom_site_type_symbol
_atom_site_fract_x
_atom_site_fract_y
_atom_site_fract_z
Cu1 Cu 0.000 0.000 0.000
Cu2 Cu 0.314 0.331 0.480
Cu3 Cu 0.333 0.666 0.000
Ag1 Ag 0.500 0.000 0.500
Cl1 Cl 0.004 0.223 0.106
Cl2 Cl 0.049 0.790 0.426
Cl3 Cl 0.327 0.444 0.894
Cl4 Cl 0.333 0.527 0.607
Cl5 Cl 0.338 0.889 0.106
Cl6 Cl 0.357 0.139 0.355
# **Uncorrected formation energy**: -458 meV per atom

---

Entry 15:
# PBE MgMn2Pt2, relaxed
data_MgMn2Pt2
_chemical_formula_sum 'Mg2 Mn4 Pt4'
_cell_length_a 7.467
_cell_length_b 7.467
_cell_length_c 2.967
_cell_angle_alpha 90.00
_cell_angle_beta 90.00
_cell_angle_gamma 90.00
_space_group_name_H-M_alt 'P 4/m b m'
_space_group_IT_number 127
_space_group_name_Hall '-P 4 2ab'
loop_
_atom_site_label
_atom_site_type_symbol
_atom_site_fract_x
_atom_site_fract_y
_atom_site_fract_z
Mg1 Mg 0.000 0.000 0.000
Mn1 Mn 0.152 0.348 0.500
Pt1 Pt 0.144 0.644 0.000
# **Relative energy among the computed polymorphs**: 0.000 eV/atom

---

Entry 16:
# PBE Ti3CuBr, relaxed
data_Ti3CuBr
_chemical_formula_sum 'Ti3 Cu1 Br1'
_cell_length_a 4.721
_cell_length_b 4.721
_cell_length_c 4.721
_cell_angle_alpha 90.00
_cell_angle_beta 90.00
_cell_angle_gamma 90.00
_space_group_name_H-M_alt 'P m -3 m'
_space_group_IT_number 221
_space_group_name_Hall '-P 4 2 3'
loop_
_atom_site_label
_atom_site_type_symbol
_atom_site_fract_x
_atom_site_fract_y
_atom_site_fract_z
Ti1 Ti 0.000 0.000 0.500
Cu1 Cu 0.000 0.000 0.000
Br1 Br 0.500 0.500 0.500
# **Relative energy among the computed polymorphs**: 0.000 eV/atom
# **Uncorrected formation energy**: 643 meV per atom

---

Entry 17:
# PBE YSc2CrGe, relaxed
data_YSc2CrGe
_chemical_formula_sum 'Y1 Sc2 Cr1 Ge1'
_cell_length_a 4.756
_cell_length_b 4.756
_cell_length_c 5.128
_cell_angle_alpha 90.00
_cell_angle_beta 90.00
_cell_angle_gamma 90.00
_space_group_name_H-M_alt 'P 4/m m m'
_space_group_IT_number 123
_space_group_name_Hall '-P 4 2'
loop_
_atom_site_label
_atom_site_type_symbol
_atom_site_fract_x
_atom_site_fract_y
_atom_site_fract_z
Y1 Y 0.000 0.000 0.000
Sc1 Sc 0.000 0.500 0.500
Cr1 Cr 0.000 0.000 0.500
Ge1 Ge 0.500 0.500 0.000
# **Relative energy among the computed polymorphs**: 0.000 eV/atom

---

Entry 18:
# PBE Ho3Tm4Cd, relaxed
data_Ho3Tm4Cd
_chemical_formula_sum 'Ho3 Tm4 Cd1'
_cell_length_a 3.508
_cell_length_b 3.508
_cell_length_c 19.011
_cell_angle_alpha 90.00
_cell_angle_beta 90.00
_cell_angle_gamma 90.00
_space_group_name_H-M_alt 'P 4/m m m'
_space_group_IT_number 123
_space_group_name_Hall '-P 4 2'
loop_
_atom_site_label
_atom_site_type_symbol
_atom_site_fract_x
_atom_site_fract_y
_atom_site_fract_z
Ho1 Ho 0.000 0.000 0.000
Ho2 Ho 0.000 0.000 0.261
Tm1 Tm 0.500 0.500 0.131
Tm2 Tm 0.500 0.500 0.390
Cd1 Cd 0.000 0.000 0.500
# **E_tot**: -4.13 eV/atom

---

Entry 19:
# PBE Np2TcPt, relaxed
data_Np2TcPt
_chemical_formula_sum 'Np2 Tc1 Pt1'
_cell_length_a 3.353
_cell_length_b 3.353
_cell_length_c 7.122
_cell_angle_alpha 90.00
_cell_angle_beta 90.00
_cell_angle_gamma 90.00
_space_group_name_H-M_alt 'P 4/m m m'
_space_group_IT_number 123
_space_group_name_Hall '-P 4 2'
loop_
_atom_site_label
_atom_site_type_symbol
_atom_site_fract_x
_atom_site_fract_y
_atom_site_fract_z
Np1 Np 0.000 0.000 0.242
Tc1 Tc 0.500 0.500 0.000
Pt1 Pt 0.500 0.500 0.500
# **Relative energy among the computed polymorphs**: 0.000 eV/atom

---

Entry 20:
# PBE Sc6AlCu5, relaxed
data_Sc6AlCu5
_chemical_formula_sum 'Sc12 Al2 Cu10'
_cell_length_a 4.610
_cell_length_b 13.919
_cell_length_c 6.632
_cell_angle_alpha 90.00
_cell_angle_beta 90.00
_cell_angle_gamma 90.00
_space_group_name_H-M_alt 'C m m m'
_space_group_IT_number 65
_space_group_name_Hall '-C 2 2'
loop_
_atom_site_label
_atom_site_type_symbol
_atom_site_fract_x
_atom_site_fract_y
_atom_site_fract_z
Sc1 Sc 0.000 0.000 0.238
Sc2 Sc 0.000 0.330 0.248
Al1 Al 0.000 0.500 0.500
Cu1 Cu 0.000 0.153 0.500
Cu2 Cu 0.000 0.169 0.000
Cu3 Cu 0.000 0.500 0.000
# **E_tot**: -5.49 eV/atom

---

no.,ρ (Mg/m³)
1,8.61
2,5.24
3,4.36
4,12.70
5,11.34
6,7.03
7,6.95
8,5.01
9,9.91
10,13.02
11,5.92
12,9.14
13,5.10
14,2.98
15,10.53
16,4.53
17,4.34
18,9.11
19,15.90
20,4.79